Entry 1:
Below is a relaxed GeSbNO2 crystal, with properties calculated at the PBE-GGA level.

Lattice parameters (Å, degrees): 3.9813 3.9813 4.0715 90.00 90.00 90.00
Closest atoms and distances in Å follow each position.
Fractional coordinates of all 5 atoms:
Ge (0.0000, 0.0000, 0.0000)  4 N 2.82, 8 O 2.85
Sb (0.5000, 0.5000, 0.5000)  4 O 1.99, 2 N 2.04
N (0.5000, 0.5000, 0.0000)  2 Sb 2.04
O (0.0000, 0.5000, 0.5000)  2 Sb 1.99
O (0.5000, 0.0000, 0.5000)  2 Sb 1.99

Properties
Formation energy from raw total energies (eV/f.u.): -1.0
M_tot (μB per atom): 0.000
Final energy (Ry/atom): -0.4110
Space group: No. 123

Entry 2:
Below is a relaxed Ce2Co4Ge3Ir crystal, with properties calculated at the PBE-GGA level.

Lattice parameters (Å, degrees): 4.0133 4.0133 10.0593 90.00 90.00 90.00
Closest atoms and distances in Å follow each position.
Fractional coordinates of all 10 atoms:
Ce (0.0000, 0.5000, 0.2494)  8 Co 3.06-3.21, 6 Ge 3.09-3.22, 2 Ir 3.22
Ce (0.5000, 0.0000, 0.7506)  8 Co 3.06-3.21, 6 Ge 3.09-3.22, 2 Ir 3.22
Co (0.0000, 0.0000, 0.0000)  4 Ge 2.38
Co (0.0000, 0.5000, 0.6371)  3 Ge 2.38-2.43, 2 Ir 2.43
Co (0.5000, 0.0000, 0.3629)  3 Ge 2.38-2.43, 2 Ir 2.43
Co (0.5000, 0.5000, 0.0000)  4 Ge 2.38
Ge (0.0000, 0.5000, 0.8734)  5 Co 2.38
Ge (0.5000, 0.0000, 0.1266)  5 Co 2.38
Ge (0.5000, 0.5000, 0.5000)  4 Co 2.43
Ir (0.0000, 0.0000, 0.5000)  4 Co 2.43

Properties
M_tot (μB per atom): 0.101
Final energy (Ry/atom): -0.4995
Space group: No. 115

Entry 3:
Below is a relaxed Er2ZrTe crystal, with properties calculated at the PBE-GGA level.

Lattice parameters (Å, degrees): 10.5450 10.5450 10.5450 19.99 19.99 19.99
Closest atoms and distances in Å follow each position.
Fractional coordinates of all 4 atoms:
Er (0.0979, 0.0979, 0.0979)  3 Te 3.00, 1 Zr 3.04
Er (0.9021, 0.9021, 0.9021)  3 Te 3.00, 1 Zr 3.04
Zr (0.0000, 0.0000, 0.0000)  2 Er 3.04
Te (0.5000, 0.5000, 0.5000)  6 Er 3.00

Properties
Formation energy from raw total energies (eV/f.u.): 0.1
M_tot (μB per atom): 0.343
Final energy (Ry/atom): -0.3811
Space group: No. 166

Entry 4:
Below is a relaxed Cs3CaCu2Br9 crystal, with properties calculated at the PBE-GGA level.

Lattice parameters (Å, degrees): 7.6664 7.6664 9.4637 90.00 90.00 120.00
Closest atoms and distances in Å follow each position.
Fractional coordinates of all 15 atoms:
Cs (0.0000, 0.0000, 0.0000)  12 Br 3.80-3.83
Cs (0.3333, 0.6667, 0.6678)  12 Br 3.84-3.92
Cs (0.6667, 0.3333, 0.3322)  12 Br 3.84-3.92
Ca (0.0000, 0.0000, 0.5000)  6 Br 2.88
Cu (0.3333, 0.6667, 0.1555)  6 Br 2.62-2.66
Cu (0.6667, 0.3333, 0.8445)  6 Br 2.62-2.66
Br (0.0000, 0.5000, 0.0000)  2 Cu 2.66
Br (0.1741, 0.3482, 0.3184)  1 Cu 2.62, 1 Ca 2.88
Br (0.1741, 0.8259, 0.3184)  1 Cu 2.62, 1 Ca 2.88
Br (0.3482, 0.1741, 0.6816)  1 Cu 2.62, 1 Ca 2.88
Br (0.5000, 0.0000, 0.0000)  2 Cu 2.66
Br (0.5000, 0.5000, 0.0000)  2 Cu 2.66
Br (0.6518, 0.8259, 0.3184)  1 Cu 2.62, 1 Ca 2.88
Br (0.8259, 0.1741, 0.6816)  1 Cu 2.62, 1 Ca 2.88
Br (0.8259, 0.6518, 0.6816)  1 Cu 2.62, 1 Ca 2.88

Properties
Formation energy from raw total energies (eV/f.u.): -18.1
M_tot (μB per atom): 0.000
Final energy (Ry/atom): -0.2251
Space group: No. 164

Entry 5:
Below is a relaxed Tb6PuSe8 crystal, with properties calculated at the PBE-GGA level.

Lattice parameters (Å, degrees): 8.1763 8.1763 8.1763 60.00 60.00 60.00
Closest atoms and distances in Å follow each position.
Fractional coordinates of all 15 atoms:
Tb (0.0000, 0.0000, 0.5000)  6 Se 2.89
Tb (0.0000, 0.5000, 0.0000)  6 Se 2.89
Tb (0.0000, 0.5000, 0.5000)  6 Se 2.89
Tb (0.5000, 0.0000, 0.0000)  6 Se 2.89
Tb (0.5000, 0.0000, 0.5000)  6 Se 2.89
Tb (0.5000, 0.5000, 0.0000)  6 Se 2.89
Pu (0.0000, 0.0000, 0.0000)  6 Se 2.95
Se (0.2500, 0.2500, 0.2500)  6 Tb 2.89
Se (0.2555, 0.2555, 0.7445)  4 Tb 2.89, 1 Pu 2.95
Se (0.2555, 0.7445, 0.2555)  4 Tb 2.89, 1 Pu 2.95
Se (0.2555, 0.7445, 0.7445)  4 Tb 2.89, 1 Pu 2.95
Se (0.7445, 0.2555, 0.2555)  4 Tb 2.89, 1 Pu 2.95
Se (0.7445, 0.2555, 0.7445)  4 Tb 2.89, 1 Pu 2.95
Se (0.7445, 0.7445, 0.2555)  4 Tb 2.89, 1 Pu 2.95
Se (0.7500, 0.7500, 0.7500)  6 Tb 2.89

Properties
Formation energy from raw total energies (eV/f.u.): -26.9
M_tot (μB per atom): 0.418
Final energy (Ry/atom): -0.4749
Space group: No. 225

Entry 6:
Below is a relaxed BeTcTe2N crystal, with properties calculated at the PBE-GGA level.

Lattice parameters (Å, degrees): 5.3732 5.3732 3.6783 90.00 90.00 90.00
Closest atoms and distances in Å follow each position.
Fractional coordinates of all 5 atoms:
Be (0.0000, 0.0000, 0.0000)  8 Te 3.26
Tc (0.5000, 0.5000, 0.5000)  2 N 1.84
Te (0.0000, 0.5000, 0.5000)  2 Tc 2.69
Te (0.5000, 0.0000, 0.5000)  2 Tc 2.69
N (0.5000, 0.5000, 0.0000)  2 Tc 1.84

Properties
Formation energy from raw total energies (eV/f.u.): 3.1
M_tot (μB per atom): 0.000
Final energy (Ry/atom): -0.3758
Space group: No. 123

Q: Look up the final energy of the fourth one.
A: -0.2251 Ry/atom